No. 1
CePm4Ni5 | PBE | optimized geometry

Structure (CIF):
```
data_CePm4Ni5
_cell_length_a 3.456
_cell_length_b 3.456
_cell_length_c 17.332
_cell_angle_alpha 90.00
_cell_angle_beta 90.00
_cell_angle_gamma 90.00
_symmetry_space_group_name_H-M 'P 4/m m m'
_symmetry_Int_Tables_number 123
_symmetry_space_group_name_Hall '-P 4 2'
loop_
_atom_site_label
_atom_site_type_symbol
_atom_site_fract_x
_atom_site_fract_y
_atom_site_fract_z
_atom_site_occupancy
Ce1 Ce 0.000 0.000 0.000 1
Pm1 Pm 0.000 0.000 0.198 1
Pm2 Pm 0.000 0.000 0.399 1
Ni1 Ni 0.500 0.500 0.086 1
Ni2 Ni 0.500 0.500 0.300 1
Ni3 Ni 0.500 0.500 0.500 1
```

Values from the calculation:
**ΔH_f (0 K)**: -245 kJ/mol of formula units

No. 2
TbZrCd | PBE | optimized geometry

Structure (CIF):
```
data_TbZrCd
_cell_length_a 5.1378
_cell_length_b 5.1378
_cell_length_c 3.3706
_cell_angle_alpha 90.00
_cell_angle_beta 90.00
_cell_angle_gamma 120.00
_symmetry_space_group_name_H-M 'P 3 m 1'
_symmetry_Int_Tables_number 156
loop_
_symmetry_equiv_pos_as_xyz
'x,y,z'
'-y,x-y,z'
'-x+y,-x,z'
'-y,-x,z'
'-x+y,y,z'
'x,x-y,z'
loop_
_atom_site_label
_atom_site_type_symbol
_atom_site_fract_x
_atom_site_fract_y
_atom_site_fract_z
_atom_site_occupancy
Tb1 Tb 0.0000 0.0000 0.0000 1
Zr1 Zr 0.3333 0.6667 0.5065 1
Cd1 Cd 0.6667 0.3333 0.4824 1
```

Values from the calculation:
**Energy above the most stable polymorph in this dataset**: 178 meV/atom
**ΔH_f (0 K)**: 17 kJ/mol of formula units

No. 3
NpGaHg | PBE | optimized geometry

Structure (CIF):
```
data_NpGaHg
_cell_length_a 3.162
_cell_length_b 3.162
_cell_length_c 13.254
_cell_angle_alpha 90.00
_cell_angle_beta 90.00
_cell_angle_gamma 90.00
_symmetry_space_group_name_H-M 'I 4 m m'
_symmetry_Int_Tables_number 107
_symmetry_space_group_name_Hall 'I 4 -2'
loop_
_atom_site_label
_atom_site_type_symbol
_atom_site_fract_x
_atom_site_fract_y
_atom_site_fract_z
_atom_site_occupancy
Np1 Np 0.000 0.000 0.000 1
Ga1 Ga 0.000 0.000 0.339 1
Hg1 Hg 0.000 0.000 0.683 1
```

Values from the calculation:
**Energy above the most stable polymorph in this dataset**: 93 meV/atom
**ΔH_f (0 K)**: 29 kJ/mol of formula units

No. 4
Ac2CeTmSe4 | PBE | optimized geometry

Structure (CIF):
```
data_Ac2CeTmSe4
_cell_length_a 7.350
_cell_length_b 4.205
_cell_length_c 7.618
_cell_angle_alpha 90.00
_cell_angle_beta 108.40
_cell_angle_gamma 90.00
_symmetry_space_group_name_H-M 'P 1 2/m 1'
_symmetry_Int_Tables_number 10
loop_
_symmetry_equiv_pos_as_xyz
'x,y,z'
'-x,-y,-z'
'-x,y,-z'
'x,-y,z'
loop_
_atom_site_label
_atom_site_type_symbol
_atom_site_fract_x
_atom_site_fract_y
_atom_site_fract_z
_atom_site_occupancy
Ac1 Ac 0.000 0.000 0.000 1
Ac2 Ac 0.500 0.500 0.000 1
Ce1 Ce 0.000 0.500 0.500 1
Tm1 Tm 0.500 0.000 0.500 1
Se1 Se 0.251 0.000 0.726 1
Se2 Se 0.269 0.500 0.280 1
```

Values from the calculation:
**Formation energy without anion corrections**: -1.79 eV/atom

No. 5
PaInGa2Cl8 | PBE | optimized geometry

Structure (CIF):
```
data_PaInGa2Cl8
_cell_length_a 6.885
_cell_length_b 7.128
_cell_length_c 9.162
_cell_angle_alpha 89.77
_cell_angle_beta 89.77
_cell_angle_gamma 88.19
_symmetry_space_group_name_H-M 'P -1'
_symmetry_Int_Tables_number 2
loop_
_symmetry_equiv_pos_as_xyz
'x,y,z'
'-x,-y,-z'
loop_
_atom_site_label
_atom_site_type_symbol
_atom_site_fract_x
_atom_site_fract_y
_atom_site_fract_z
_atom_site_occupancy
Pa1 Pa 0.000 0.000 0.000 1
In1 In 0.000 0.000 0.500 1
Ga1 Ga 0.500 0.500 0.287 1
Cl1 Cl 0.212 0.702 0.000 1
Cl2 Cl 0.213 0.137 0.202 1
Cl3 Cl 0.213 0.137 0.796 1
Cl4 Cl 0.296 0.659 0.500 1
```

Values from the calculation:
**Formation energy without anion corrections**: -1.31 eV/atom

No. 6
Sc2Ga2CoNi5 | PBE | optimized geometry

Structure (CIF):
```
data_Sc2Ga2CoNi5
_cell_length_a 9.032
_cell_length_b 9.032
_cell_length_c 3.411
_cell_angle_alpha 90.00
_cell_angle_beta 90.00
_cell_angle_gamma 90.00
_symmetry_space_group_name_H-M 'P 4/m b m'
_symmetry_Int_Tables_number 127
_symmetry_space_group_name_Hall '-P 4 2ab'
loop_
_atom_site_label
_atom_site_type_symbol
_atom_site_fract_x
_atom_site_fract_y
_atom_site_fract_z
_atom_site_occupancy
Sc1 Sc 0.174 0.326 0.000 1
Ga1 Ga 0.126 0.626 0.000 1
Co1 Co 0.000 0.000 0.000 1
Ni1 Ni 0.000 0.500 0.500 1
Ni2 Ni 0.057 0.805 0.500 1
```

Values from the calculation:
**ΔH_f (0 K)**: -273 kJ/mol of formula units